The following is a meta-GGA SCAN calculation of a crystal of Ba2V2Te2O11 relaxed with PBEsol, from Alexandria.

Lattice parameters (Å, degrees): 7.468 7.648 9.539 90.00 93.75 90.00
Atoms (fractional coordinates):
1 Ba 0.126 0.250 0.358
2 Ba 0.134 0.750 0.074
3 Ba 0.866 0.250 0.926
4 Ba 0.874 0.750 0.642
5 V 0.320 0.750 0.487
6 V 0.391 0.250 0.080
7 V 0.609 0.750 0.920
8 V 0.680 0.250 0.513
9 Te 0.294 0.034 0.740
10 Te 0.294 0.466 0.740
11 Te 0.706 0.534 0.260
12 Te 0.706 0.966 0.260
13 O 0.082 0.518 0.823
14 O 0.082 0.982 0.823
15 O 0.197 0.567 0.548
16 O 0.197 0.933 0.548
17 O 0.199 0.250 0.647
18 O 0.297 0.073 0.146
19 O 0.297 0.427 0.146
20 O 0.338 0.750 0.315
21 O 0.348 0.250 0.892
22 O 0.380 0.750 0.873
23 O 0.482 0.250 0.426
24 O 0.518 0.750 0.574
25 O 0.620 0.250 0.127
26 O 0.652 0.750 0.108
27 O 0.662 0.250 0.685
28 O 0.703 0.573 0.854
29 O 0.703 0.927 0.854
30 O 0.801 0.750 0.353
31 O 0.803 0.067 0.452
32 O 0.803 0.433 0.452
33 O 0.918 0.018 0.177
34 O 0.918 0.482 0.177

Volume   15.991 Å³ per atom
SG   P2_1/m
Crystal system   monoclinic


The following is a meta-GGA SCAN calculation of a crystal of MgCd2Tc relaxed with PBEsol, from Alexandria.

Lattice parameters (Å, degrees): 5.152 5.152 2.861 90.00 90.00 112.59
Atoms (fractional coordinates):
1 Mg 0.000 0.000 0.000
2 Cd 0.000 0.500 0.500
3 Cd 0.500 0.000 0.500
4 Tc 0.500 0.500 0.000

Volume   17.530 Å³ per atom
SG   Cmmm
Energy of formation   0.208 eV per atom
Crystal system   orthorhombic


The following is a meta-GGA SCAN calculation of a crystal of LiCd5 relaxed with PBEsol, from Alexandria.

Lattice parameters (Å, degrees): 6.760 6.760 4.322 90.00 90.00 142.85
Atoms (fractional coordinates):
1 Li 0.000 0.000 0.000
2 Cd 0.162 0.838 0.500
3 Cd 0.334 0.666 0.000
4 Cd 0.500 0.500 0.500
5 Cd 0.666 0.334 0.000
6 Cd 0.838 0.162 0.500

Volume   19.878 Å³ per atom
Energy above the most stable polymorph in this dataset   3.3 kJ/mol of formula units
SG   Cmmm
Energy of formation   -0.116 eV per atom
Crystal system   orthorhombic


The following is a meta-GGA SCAN calculation of a crystal of TaCdSe2 relaxed with PBEsol, from Alexandria.

Lattice parameters (Å, degrees): 4.882 4.911 4.911 42.52 90.00 90.00
Atoms (fractional coordinates):
1 Ta 0.000 0.000 0.000
2 Cd 0.500 0.386 0.386
3 Se 0.000 0.715 0.715
4 Se 0.500 0.102 0.102

Volume   19.897 Å³ per atom
SG   Amm2
Crystal system   orthorhombic


The following is a meta-GGA SCAN calculation of a crystal of LiV2P3O10 relaxed with PBEsol, from Alexandria.

Lattice parameters (Å, degrees): 4.583 8.535 9.046 90.00 97.35 90.00
Atoms (fractional coordinates):
1 Li 0.000 0.000 0.000
2 Li 0.000 0.500 0.000
3 V 0.032 0.069 0.335
4 V 0.032 0.431 0.335
5 V 0.968 0.569 0.665
6 V 0.968 0.931 0.665
7 P 0.331 0.250 0.823
8 P 0.402 0.750 0.465
9 P 0.460 0.250 0.141
10 P 0.540 0.750 0.859
11 P 0.598 0.250 0.535
12 P 0.669 0.750 0.177
13 O 0.158 0.099 0.816
14 O 0.158 0.401 0.816
15 O 0.231 0.599 0.486
16 O 0.231 0.901 0.486
17 O 0.237 0.750 0.764
18 O 0.286 0.100 0.155
19 O 0.286 0.400 0.155
20 O 0.291 0.250 0.445
21 O 0.438 0.750 0.291
22 O 0.444 0.750 0.027
23 O 0.556 0.250 0.973
24 O 0.562 0.250 0.709
25 O 0.709 0.750 0.555
26 O 0.714 0.600 0.845
27 O 0.714 0.900 0.845
28 O 0.763 0.250 0.236
29 O 0.769 0.099 0.514
30 O 0.769 0.401 0.514
31 O 0.842 0.599 0.184
32 O 0.842 0.901 0.184

Volume   10.967 Å³ per atom
SG   P2_1/m
Crystal system   monoclinic


The following is a meta-GGA SCAN calculation of a crystal of NbCd2NiAs relaxed with PBEsol, from Alexandria.

Lattice parameters (Å, degrees): 5.285 5.285 4.429 90.00 90.00 90.00
Atoms (fractional coordinates):
1 Nb 0.000 0.000 0.000
2 Cd 0.000 0.500 0.000
3 Cd 0.500 0.000 0.000
4 Ni 0.000 0.000 0.500
5 As 0.500 0.500 0.500

Volume   24.740 Å³ per atom
SG   P4/mmm
Energy of formation   1.427 eV per atom
Crystal system   tetragonal


The following is a meta-GGA SCAN calculation of a crystal of TaMnSeN2 relaxed with PBEsol, from Alexandria.

Lattice parameters (Å, degrees): 3.951 3.951 5.313 90.00 90.00 90.00
Atoms (fractional coordinates):
1 Ta 0.000 0.000 0.000
2 Mn 0.500 0.500 0.500
3 Se 0.000 0.000 0.500
4 N 0.000 0.500 0.000
5 N 0.500 0.000 0.000

Volume   16.592 Å³ per atom
SG   P4/mmm
Crystal system   tetragonal


The following is a meta-GGA SCAN calculation of a crystal of MoWSe4 relaxed with PBEsol, from Alexandria.

Lattice parameters (Å, degrees): 3.269 3.269 13.085 90.00 90.00 120.00
Atoms (fractional coordinates):
1 Mo 0.000 0.000 0.000
2 W 0.333 0.667 0.501
3 Se 0.000 0.000 0.372
4 Se 0.000 0.000 0.629
5 Se 0.333 0.667 0.127
6 Se 0.333 0.667 0.873

Volume   20.184 Å³ per atom
Energy above the most stable polymorph in this dataset   0.0 kJ/mol of formula units
SG   P3m1
Crystal system   trigonal


The following is a meta-GGA SCAN calculation of a crystal of ZnHgAs2 relaxed with PBEsol, from Alexandria.

Lattice parameters (Å, degrees): 3.832 3.832 5.412 90.00 90.00 90.00
Atoms (fractional coordinates):
1 Zn 0.000 0.000 0.000
2 Hg 0.500 0.500 0.998
3 As 0.000 0.000 0.499
4 As 0.500 0.500 0.498

Volume   19.871 Å³ per atom
Energy above the most stable polymorph in this dataset   31.4 kJ/mol of formula units
SG   P4mm
Energy of formation   0.145 eV per atom
Crystal system   tetragonal


The following is a meta-GGA SCAN calculation of a crystal of YBeCo2 relaxed with PBEsol, from Alexandria.

Lattice parameters (Å, degrees): 4.809 4.809 4.809 135.82 135.82 64.26
Atoms (fractional coordinates):
1 Y 0.000 0.000 0.000
2 Be 0.750 0.250 0.500
3 Co 0.250 0.750 0.500
4 Co 0.500 0.500 0.000

Volume   13.318 Å³ per atom
SG   I-4m2
Energy of formation   0.256 eV per atom
Crystal system   tetragonal


The following is a meta-GGA SCAN calculation of a crystal of PdIN2O relaxed with PBEsol, from Alexandria.

Lattice parameters (Å, degrees): 3.623 3.623 7.766 90.00 90.00 90.00
Atoms (fractional coordinates):
1 Pd 0.000 0.000 0.000
2 I 0.000 0.000 0.500
3 N 0.000 0.500 0.000
4 N 0.500 0.000 0.000
5 O 0.500 0.500 0.500

Volume   20.392 Å³ per atom
SG   P4/mmm
Crystal system   tetragonal


The following is a meta-GGA SCAN calculation of a crystal of CrHgW2 relaxed with PBEsol, from Alexandria.

Lattice parameters (Å, degrees): 2.730 4.353 5.430 90.00 101.41 90.00
Atoms (fractional coordinates):
1 Cr 0.000 0.000 0.000
2 Hg 0.919 0.500 0.292
3 W 0.264 0.500 0.813
4 W 0.549 0.000 0.573

Volume   15.813 Å³ per atom
SG   Pm
Energy of formation   0.579 eV per atom
Crystal system   monoclinic


no.,DFT total energy (eV per atom)
1,-17.48
2,-25.01
3,-25.86
4,-34.42
5,-10.68
6,-24.64
7,-24.84
8,-31.43
9,-30.37
10,-16.45
11,-17.24
12,-55.90